First-principles (GGA-PBE) data for a relaxed Tl4NiIr crystal, as listed in Alexandria.

Calculated values
Crystal system = cubic
ΔH_f (0 K) = 1.180 eV/atom
Space group = No. 216
Magnetization = 1.07 μB per cell

a b c (Å): 6.027 6.027 6.027
angles (deg): 60.00 60.00 60.00
Fractional positions:
Tl1 0.125 0.125 0.125
Tl2 0.125 0.125 0.626
Tl3 0.125 0.626 0.125
Tl4 0.626 0.125 0.125
Ni1 0.500 0.500 0.500
Ir1 0.750 0.750 0.750